# Hg4MoRu PBE relaxed
# M_tot in μB/f.u.: 3.00
data_Hg4MoRu
_cell_length_a 7.875
_cell_length_b 7.875
_cell_length_c 7.875
_cell_angle_alpha 90.00
_cell_angle_beta 90.00
_cell_angle_gamma 90.00
_symmetry_space_group_name_H-M 'F -4 3 m'
_symmetry_Int_Tables_number 216
_symmetry_space_group_name_Hall 'F -4 2 3'
loop_
_atom_site_label
_atom_site_fract_x
_atom_site_fract_y
_atom_site_fract_z
_atom_site_occupancy
Hg1 0.125 0.125 0.125 1
Mo1 0.250 0.250 0.750 1
Ru1 0.000 0.000 0.500 1


# HgMoRu2 PBE relaxed
# M_tot in μB/f.u.: 0.00
data_HgMoRu2
_cell_length_a 4.135
_cell_length_b 4.135
_cell_length_c 3.702
_cell_angle_alpha 90.00
_cell_angle_beta 90.00
_cell_angle_gamma 90.00
_symmetry_space_group_name_H-M 'P 4/m m m'
_symmetry_Int_Tables_number 123
_symmetry_space_group_name_Hall '-P 4 2'
loop_
_atom_site_label
_atom_site_fract_x
_atom_site_fract_y
_atom_site_fract_z
_atom_site_occupancy
Hg1 0.000 0.000 0.000 1
Mo1 0.500 0.500 0.000 1
Ru1 0.000 0.500 0.500 1


# HgMoRu2 PBE relaxed
# M_tot in μB/f.u.: 0.00
data_HgMoRu2
_cell_length_a 9.214
_cell_length_b 2.846
_cell_length_c 5.023
_cell_angle_alpha 90.00
_cell_angle_beta 100.92
_cell_angle_gamma 90.00
_symmetry_space_group_name_H-M 'C 1 2/m 1'
_symmetry_Int_Tables_number 12
_symmetry_space_group_name_Hall '-C 2y'
loop_
_atom_site_label
_atom_site_fract_x
_atom_site_fract_y
_atom_site_fract_z
_atom_site_occupancy
Hg1 0.000 0.000 0.000 1
Mo1 0.000 0.500 0.500 1
Ru1 0.238 0.000 0.713 1


Record-wise ΔE_f values, in eV/atom: 1.018 0.483 0.381